No. 1
Computed, not measured: a relaxed structure of KHfSi2 at the PBE level of DFT.

Output
- E_tot (eV per atom) = -4.9661
- space group = Fm-3m (225)

Unit cell a=6.9379 b=6.9379 c=6.9379 alpha=90.00 beta=90.00 gamma=90.00
Fractional positions:
K  0.0000  0.0000  0.0000
K  0.0000  0.5000  0.5000
K  0.5000  0.0000  0.5000
K  0.5000  0.5000  0.0000
Hf  0.0000  0.0000  0.5000
Hf  0.0000  0.5000  0.0000
Hf  0.5000  0.0000  0.0000
Hf  0.5000  0.5000  0.5000
Si  0.2500  0.2500  0.2500
Si  0.2500  0.2500  0.7500
Si  0.2500  0.7500  0.2500
Si  0.2500  0.7500  0.7500
Si  0.7500  0.2500  0.2500
Si  0.7500  0.2500  0.7500
Si  0.7500  0.7500  0.2500
Si  0.7500  0.7500  0.7500


No. 2
Computed, not measured: a relaxed structure of KHfSi2 at the PBE level of DFT.

Output
- E_tot (eV per atom) = -5.0243
- space group = I4_1/amd (141)

Unit cell a=5.5398 b=5.5398 c=17.5290 alpha=90.00 beta=90.00 gamma=90.00
Fractional positions:
K  0.0000  0.2500  0.3750
K  0.0000  0.7500  0.6250
K  0.5000  0.2500  0.1250
K  0.5000  0.7500  0.8750
Hf  0.0000  0.2500  0.8750
Hf  0.0000  0.7500  0.1250
Hf  0.5000  0.2500  0.6250
Hf  0.5000  0.7500  0.3750
Si  0.0000  0.0000  0.0000
Si  0.0000  0.5000  0.0000
Si  0.2500  0.2500  0.7500
Si  0.2500  0.7500  0.2500
Si  0.5000  0.0000  0.5000
Si  0.5000  0.5000  0.5000
Si  0.7500  0.2500  0.7500
Si  0.7500  0.7500  0.2500


No. 3
Computed, not measured: a relaxed structure of K2HfSiSn at the PBE level of DFT.

Output
- E_tot (eV per atom) = -3.0659
- space group = P4/mmm (123)

Unit cell a=6.6724 b=6.6724 c=4.9387 alpha=90.00 beta=90.00 gamma=90.00
Fractional positions:
K  0.0000  0.5000  0.0000
K  0.5000  0.0000  0.0000
Hf  0.0000  0.0000  0.5000
Si  0.5000  0.5000  0.5000
Sn  0.5000  0.5000  0.0000


No. 4
Computed, not measured: a relaxed structure of K4Sm3HfTe8 at the PBE level of DFT.

Output
- E_tot (eV per atom) = -4.6127
- space group = R-3m (166)

Unit cell a=9.7608 b=9.7608 c=9.7608 alpha=54.43 beta=54.43 gamma=54.43
Fractional positions:
K  0.0000  0.0000  0.0000
K  0.0000  0.5000  0.5000
K  0.5000  0.0000  0.5000
K  0.5000  0.5000  0.0000
Sm  0.0000  0.0000  0.5000
Sm  0.0000  0.5000  0.0000
Sm  0.5000  0.0000  0.0000
Hf  0.5000  0.5000  0.5000
Te  0.2390  0.2390  0.2390
Te  0.2548  0.7261  0.7261
Te  0.2739  0.2739  0.7452
Te  0.2739  0.7452  0.2739
Te  0.7261  0.2548  0.7261
Te  0.7261  0.7261  0.2548
Te  0.7452  0.2739  0.2739
Te  0.7610  0.7610  0.7610


No. 5
Computed, not measured: a relaxed structure of K2SmHfTe4 at the PBE level of DFT.

Output
- E_tot (eV per atom) = -4.7989
- space group = P2/m (10)

Unit cell a=7.5929 b=4.3374 c=8.6816 alpha=90.00 beta=106.57 gamma=90.00
Fractional positions:
K  0.0000  0.0000  0.0000
K  0.5000  0.5000  0.0000
Sm  0.0000  0.5000  0.5000
Hf  0.5000  0.0000  0.5000
Te  0.2550  0.0000  0.7110
Te  0.2831  0.5000  0.2977
Te  0.7169  0.5000  0.7023
Te  0.7450  0.0000  0.2890


No. 6
Computed, not measured: a relaxed structure of K2Sm2HfTe6 at the PBE level of DFT.

Output
- E_tot (eV per atom) = -4.9046
- space group = C2/m (12)

Unit cell a=7.5973 b=7.5973 c=8.8401 alpha=98.74 beta=98.74 gamma=119.57
Fractional positions:
K  0.1728  0.8272  0.0000
K  0.8272  0.1728  0.0000
Sm  0.3322  0.6678  0.5000
Sm  0.6678  0.3322  0.5000
Hf  0.0000  0.0000  0.5000
Te  0.0749  0.3847  0.7062
Te  0.2404  0.2404  0.2964
Te  0.3847  0.0749  0.7062
Te  0.6153  0.9251  0.2938
Te  0.7596  0.7596  0.7036
Te  0.9251  0.6153  0.2938


No. 7
Computed, not measured: a relaxed structure of K2HfSn at the PBE level of DFT.

Output
- space group = I-42d (122)
- formation energy from the elements (eV per atom) = 0.69

Unit cell a=13.0235 b=13.0235 c=5.5612 alpha=90.00 beta=90.00 gamma=90.00
Fractional positions:
K  0.0869  0.2500  0.1250
K  0.2500  0.5869  0.3750
K  0.2500  0.9131  0.8750
K  0.4131  0.2500  0.6250
K  0.5869  0.7500  0.6250
K  0.7500  0.0869  0.8750
K  0.7500  0.4131  0.3750
K  0.9131  0.7500  0.1250
Hf  0.0000  0.0000  0.5000
Hf  0.0000  0.5000  0.7500
Hf  0.5000  0.0000  0.2500
Hf  0.5000  0.5000  0.0000
Sn  0.0000  0.0000  0.0000
Sn  0.0000  0.5000  0.2500
Sn  0.5000  0.0000  0.7500
Sn  0.5000  0.5000  0.5000


No. 8
Computed, not measured: a relaxed structure of KHfSn2 at the PBE level of DFT.

Output
- space group = Fm-3m (225)
- formation energy from the elements (eV per atom) = 0.23

Unit cell a=7.5093 b=7.5093 c=7.5093 alpha=90.00 beta=90.00 gamma=90.00
Fractional positions:
K  0.0000  0.0000  0.0000
K  0.0000  0.5000  0.5000
K  0.5000  0.0000  0.5000
K  0.5000  0.5000  0.0000
Hf  0.0000  0.0000  0.5000
Hf  0.0000  0.5000  0.0000
Hf  0.5000  0.0000  0.0000
Hf  0.5000  0.5000  0.5000
Sn  0.2500  0.2500  0.2500
Sn  0.2500  0.2500  0.7500
Sn  0.2500  0.7500  0.2500
Sn  0.2500  0.7500  0.7500
Sn  0.7500  0.2500  0.2500
Sn  0.7500  0.2500  0.7500
Sn  0.7500  0.7500  0.2500
Sn  0.7500  0.7500  0.7500


No. 9
Computed, not measured: a relaxed structure of KHfSn2 at the PBE level of DFT.

Output
- space group = P4/mmm (123)
- formation energy from the elements (eV per atom) = -0.12

Unit cell a=3.8030 b=3.8030 c=8.0541 alpha=90.00 beta=90.00 gamma=90.00
Fractional positions:
K  0.0000  0.0000  0.0000
Hf  0.0000  0.0000  0.5000
Sn  0.5000  0.5000  0.3155
Sn  0.5000  0.5000  0.6845


No. 10
Computed, not measured: a relaxed structure of KHf2Sn2 at the PBE level of DFT.

Output
- space group = P4/mbm (127)
- formation energy from the elements (eV per atom) = -0.09

Unit cell a=9.0192 b=9.0192 c=3.1446 alpha=90.00 beta=90.00 gamma=90.00
Fractional positions:
K  0.0000  0.0000  0.0000
K  0.5000  0.5000  0.0000
Hf  0.1200  0.3800  0.0000
Hf  0.3800  0.8800  0.0000
Hf  0.6200  0.1200  0.0000
Hf  0.8800  0.6200  0.0000
Sn  0.1702  0.6702  0.5000
Sn  0.3298  0.1702  0.5000
Sn  0.6702  0.8298  0.5000
Sn  0.8298  0.3298  0.5000


No. 11
Computed, not measured: a relaxed structure of KHfSn2 at the PBE level of DFT.

Output
- space group = I-42d (122)
- formation energy from the elements (eV per atom) = 0.31

Unit cell a=6.0927 b=6.0927 c=18.4610 alpha=90.00 beta=90.00 gamma=90.00
Fractional positions:
K  0.0000  0.0000  0.0000
K  0.0000  0.5000  0.2500
K  0.5000  0.0000  0.7500
K  0.5000  0.5000  0.5000
Hf  0.0000  0.0000  0.5000
Hf  0.0000  0.5000  0.7500
Hf  0.5000  0.0000  0.2500
Hf  0.5000  0.5000  0.0000
Sn  0.0834  0.2500  0.6250
Sn  0.2500  0.5834  0.8750
Sn  0.2500  0.9166  0.3750
Sn  0.4166  0.2500  0.1250
Sn  0.5834  0.7500  0.1250
Sn  0.7500  0.0834  0.3750
Sn  0.7500  0.4166  0.8750
Sn  0.9166  0.7500  0.6250


No. 12
Computed, not measured: a relaxed structure of KHf2Sn at the PBE level of DFT.

Output
- space group = I-42d (122)
- formation energy from the elements (eV per atom) = 0.83

Unit cell a=4.5217 b=4.5217 c=21.5111 alpha=90.00 beta=90.00 gamma=90.00
Fractional positions:
K  0.0000  0.0000  0.0000
K  0.0000  0.5000  0.2500
K  0.5000  0.0000  0.7500
K  0.5000  0.5000  0.5000
Hf  0.2180  0.2500  0.6250
Hf  0.2500  0.7180  0.8750
Hf  0.2500  0.7820  0.3750
Hf  0.2820  0.2500  0.1250
Hf  0.7180  0.7500  0.1250
Hf  0.7500  0.2180  0.3750
Hf  0.7500  0.2820  0.8750
Hf  0.7820  0.7500  0.6250
Sn  0.0000  0.0000  0.5000
Sn  0.0000  0.5000  0.7500
Sn  0.5000  0.0000  0.2500
Sn  0.5000  0.5000  0.0000


No. 13
Computed, not measured: a relaxed structure of KHfTa2Sn at the PBE level of DFT.

Output
- space group = P4/mmm (123)
- formation energy from the elements (eV per atom) = 1.79

Unit cell a=5.2249 b=5.2249 c=5.4093 alpha=90.00 beta=90.00 gamma=90.00
Fractional positions:
K  0.0000  0.0000  0.0000
Hf  0.5000  0.5000  0.0000
Ta  0.0000  0.5000  0.5000
Ta  0.5000  0.0000  0.5000
Sn  0.5000  0.5000  0.5000


No. 14
Computed, not measured: a relaxed structure of KHfTa2Sn at the PBE level of DFT.

Output
- space group = P4/mmm (123)
- formation energy from the elements (eV per atom) = 2.43

Unit cell a=4.6207 b=4.6207 c=5.3410 alpha=90.00 beta=90.00 gamma=90.00
Fractional positions:
K  0.0000  0.0000  0.0000
Hf  0.5000  0.5000  0.5000
Ta  0.0000  0.5000  0.0000
Ta  0.5000  0.0000  0.0000
Sn  0.0000  0.0000  0.5000


No. 15
Computed, not measured: a relaxed structure of K2HfSnTe5 at the PBE level of DFT.

Output
- E_tot (eV per atom) = -4.2375
- space group = Cmc2_1 (36)

Unit cell a=10.6661 b=10.6661 c=15.2559 alpha=90.00 beta=90.00 gamma=156.64
Fractional positions:
K  0.1264  0.8736  0.5000
K  0.1272  0.8728  0.1416
K  0.8728  0.1272  0.6416
K  0.8736  0.1264  0.0000
Hf  0.2157  0.7843  0.8520
Hf  0.7843  0.2157  0.3520
Sn  0.4349  0.5651  0.2360
Sn  0.5651  0.4349  0.7360
Te  0.0626  0.9374  0.8590
Te  0.3011  0.6989  0.2139
Te  0.3006  0.6994  0.4750
Te  0.3427  0.6573  0.8222
Te  0.4991  0.5009  0.0827
Te  0.5009  0.4991  0.5827
Te  0.6573  0.3427  0.3222
Te  0.6989  0.3011  0.7139
Te  0.6994  0.3006  0.9750
Te  0.9374  0.0626  0.3590


No. 16
Computed, not measured: a relaxed structure of K2HfSnTe4 at the PBE level of DFT.

Output
- E_tot (eV per atom) = -4.4043
- space group = P2/m (10)

Unit cell a=7.8678 b=4.3798 c=8.4665 alpha=90.00 beta=106.40 gamma=90.00
Fractional positions:
K  0.0000  0.0000  0.0000
K  0.5000  0.5000  0.0000
Hf  0.0000  0.5000  0.5000
Sn  0.5000  0.0000  0.5000
Te  0.2142  0.0000  0.6960
Te  0.2405  0.5000  0.2969
Te  0.7595  0.5000  0.7031
Te  0.7858  0.0000  0.3040


No. 17
Computed, not measured: a relaxed structure of K2HfSnW at the PBE level of DFT.

Output
- space group = P4/mmm (123)
- formation energy from the elements (eV per atom) = 2.13

Unit cell a=6.8930 b=6.8930 c=5.3952 alpha=90.00 beta=90.00 gamma=90.00
Fractional positions:
K  0.0000  0.5000  0.0000
K  0.5000  0.0000  0.0000
Hf  0.0000  0.0000  0.0000
Sn  0.0000  0.0000  0.5000
W  0.5000  0.5000  0.5000


No. 18
Computed, not measured: a relaxed structure of KSr3Hf at the PBE level of DFT.

Output
- space group = Pm-3m (221)
- formation energy from the elements (eV per atom) = 1.37

Unit cell a=6.1781 b=6.1781 c=6.1781 alpha=90.00 beta=90.00 gamma=90.00
Fractional positions:
K  0.0000  0.0000  0.0000
Sr  0.0000  0.0000  0.5000
Sr  0.0000  0.5000  0.0000
Sr  0.5000  0.0000  0.0000
Hf  0.5000  0.5000  0.5000


No. 19
Computed, not measured: a relaxed structure of K2SrHf at the PBE level of DFT.

Output
- space group = I-42d (122)
- formation energy from the elements (eV per atom) = 1.18

Unit cell a=10.5128 b=10.5128 c=7.1394 alpha=90.00 beta=90.00 gamma=90.00
Fractional positions:
K  0.2280  0.2500  0.1250
K  0.2500  0.7280  0.3750
K  0.2500  0.7720  0.8750
K  0.2720  0.2500  0.6250
K  0.7280  0.7500  0.6250
K  0.7500  0.2280  0.8750
K  0.7500  0.2720  0.3750
K  0.7720  0.7500  0.1250
Sr  0.0000  0.0000  0.5000
Sr  0.0000  0.5000  0.7500
Sr  0.5000  0.0000  0.2500
Sr  0.5000  0.5000  0.0000
Hf  0.0000  0.0000  0.0000
Hf  0.0000  0.5000  0.2500
Hf  0.5000  0.0000  0.7500
Hf  0.5000  0.5000  0.5000


No. 20
Computed, not measured: a relaxed structure of KSr3Hf at the PBE level of DFT.

Output
- space group = Pm-3m (221)
- formation energy from the elements (eV per atom) = 0.73

Unit cell a=6.5976 b=6.5976 c=6.5976 alpha=90.00 beta=90.00 gamma=90.00
Fractional positions:
K  0.0000  0.0000  0.0000
Sr  0.0000  0.5000  0.5000
Sr  0.5000  0.0000  0.5000
Sr  0.5000  0.5000  0.0000
Hf  0.5000  0.5000  0.5000